Material: Li2TcAsO6
Method: DFT, GGA-PBE
State: relaxed

```
data_Li2TcAsO6
_cell_length_a 5.1688
_cell_length_b 5.1688
_cell_length_c 4.8302
_cell_angle_alpha 90.00
_cell_angle_beta 90.00
_cell_angle_gamma 90.00
_space_group_name_H-M_alt 'P 4 m m'
_space_group_IT_number 99
_space_group_name_Hall 'P 4 -2'
loop_
_atom_site_label
_atom_site_type_symbol
_atom_site_fract_x
_atom_site_fract_y
_atom_site_fract_z
Li1 Li 0.0000 0.5000 0.0000
Tc1 Tc 0.0000 0.0000 0.6724
As1 As 0.5000 0.5000 0.6710
O1 O 0.0000 0.0000 0.3150
O2 O 0.2525 0.2525 0.8061
O3 O 0.5000 0.5000 0.3237
```

Calculated values
spin magnetization = 0.17 μB/atom
raw formation energy = -1.39 eV per atom